No. 1
Sc2WCl: optimized geometry, PBE.

Unit cell a=3.1355 b=3.1355 c=8.5105 alpha=79.64 beta=79.64 gamma=68.80
Element x y z (fractional)
Cl (0.5000, 0.5000, 0.7500)
Sc (0.0759, 0.0759, 0.0026)
Sc (0.9241, 0.9241, 0.4974)
W (0.5000, 0.5000, 0.2500)

Values from the calculation:
Density   6.74 Mg/m³
Raw formation energy   -0.432 eV per atom
DOS at the Fermi energy   2.92 states/eV per cell
Excess energy over the best structure of this formula in the dataset   0.027 eV per atom
Size of the total moment   0.00 μB per formula unit

=====

No. 2
Sc3WCl: optimized geometry, PBE.

Unit cell a=5.1776 b=5.1776 c=5.1776 alpha=90.00 beta=90.00 gamma=90.00
Element x y z (fractional)
W (0.0000, 0.0000, 0.0000)
Sc (0.0000, 0.0000, 0.5000)
Cl (0.5000, 0.5000, 0.5000)
Sc (0.5000, 0.0000, 0.0000)
Sc (0.0000, 0.5000, 0.0000)

Values from the calculation:
Density   4.24 Mg/m³
Raw formation energy   0.467 eV per atom
DOS at the Fermi energy   2.47 states/eV per cell
Excess energy over the best structure of this formula in the dataset   0.339 eV per atom
Size of the total moment   0.00 μB per formula unit